Record 1
KTe2Ir, relaxed, DFT PBE; total moment = 0.00 μB per cell; V = 32.250 Å³ per atom; formation energy (no corrections) = -30.5 kJ per mole of atoms; E_tot = -4.3762 eV/atom
1.0
6.331 -1.990 0.000
6.331 1.990 0.000
-2.314 0.000 5.120
K Te Ir
1 2 1
Direct
0.000 0.000 0.000
0.188 0.188 0.673
0.328 0.328 0.272
0.755 0.755 0.465


Record 2
KTeIr, relaxed, DFT PBE; total moment = 0.00 μB per cell; V = 27.245 Å³ per atom; formation energy (no corrections) = -1.9 kJ per mole of atoms; E_tot = -4.3862 eV/atom
1.0
-1.822 1.838 6.100
1.822 -1.838 6.100
1.822 1.838 -6.100
K Te Ir
1 1 1
Direct
0.000 0.000 0.000
0.722 0.722 0.000
0.283 0.283 0.000


Record 3
K2TeIr, relaxed, DFT PBE; total moment = 0.30 μB per cell; V = 24.604 Å³ per atom; formation energy (no corrections) = 22.1 kJ per mole of atoms; E_tot = -3.3206 eV/atom
1.0
4.302 0.000 0.000
0.000 4.302 0.000
0.000 0.000 5.317
K Te Ir
2 1 1
Direct
0.000 0.500 0.000
0.500 0.000 0.000
0.000 0.000 0.500
0.500 0.500 0.500